Material: Ca2CoTcO6
Method: DFT, GGA+U
State: optimized geometry

Calculated values
* electronic total energy: -67.40 eV per cell

CIF file:
```
data_Ca2CoTcO6
_space_group_name_H-M_alt 'P 4 m m'
_space_group_IT_number 99
_space_group_name_Hall 'P 4 -2'
_cell_length_a 5.379
_cell_length_b 5.379
_cell_length_c 3.941
_cell_angle_alpha 90.00
_cell_angle_beta 90.00
_cell_angle_gamma 90.00
loop_
_atom_site_label
_atom_site_type_symbol
_atom_site_fract_x
_atom_site_fract_y
_atom_site_fract_z
_atom_site_occupancy
Ca1 Ca 0.000 0.500 0.000 1
Co1 Co 0.000 0.000 0.508 1
Tc1 Tc 0.500 0.500 0.507 1
O1 O 0.000 0.000 0.009 1
O2 O 0.248 0.248 0.511 1
O3 O 0.500 0.500 0.009 1
```